(1)
Density functional theory data (PBEsol) for a relaxed structure of K5Na3Ta7NbO24.

Cell: 7.958 7.956 7.956 Å, 90.00 90.00 90.00°
Positions (direct):
K  0.749  0.750  0.750
K  0.749  0.750  0.250
K  0.749  0.250  0.750
K  0.749  0.250  0.250
K  0.250  0.250  0.250
Na  0.246  0.753  0.753
Na  0.246  0.753  0.252
Na  0.246  0.252  0.753
Ta  0.000  0.000  0.000
Ta  0.497  0.000  0.000
Ta  0.001  0.000  0.501
Ta  0.497  0.002  0.501
Ta  0.001  0.501  0.000
Ta  0.497  0.501  0.002
Ta  0.998  0.501  0.501
Nb  0.495  0.503  0.503
O  0.005  0.750  0.999
O  0.497  0.749  0.998
O  0.006  0.750  0.500
O  0.498  0.750  0.499
O  0.004  0.250  0.998
O  0.498  0.249  0.997
O  0.005  0.249  0.501
O  0.499  0.248  0.501
O  0.005  0.999  0.750
O  0.497  0.998  0.749
O  0.004  0.998  0.250
O  0.498  0.997  0.249
O  0.006  0.500  0.750
O  0.498  0.499  0.750
O  0.005  0.501  0.249
O  0.499  0.501  0.248
O  0.751  0.999  0.999
O  0.250  0.998  0.998
O  0.751  0.999  0.500
O  0.251  0.997  0.500
O  0.751  0.500  0.999
O  0.251  0.500  0.997
O  0.753  0.500  0.500
O  0.250  0.500  0.500

Calculated values
For the density, the calculation gives 6619 kg/m3. The density of states at the Fermi level comes out at 0.000 states/eV/cell. The calculation puts the total energy at -8.510 eV/atom. The symmetry is No. 8.

(2)
Density functional theory data (PBEsol) for a relaxed structure of TaPd2F.

Cell: 4.344 4.344 4.344 Å, 60.00 60.00 60.00°
Positions (direct):
F  0.000  0.000  0.000
Pd  0.250  0.250  0.250
Pd  0.750  0.750  0.750
Ta  0.500  0.500  0.500

Calculated values
For the density, the calculation gives 11829 kg/m3. The density of states at the Fermi level comes out at 1.975 states/eV/cell. The calculation puts the total energy at -6.837 eV/atom. The symmetry is No. 225.

(3)
Density functional theory data (PBEsol) for a relaxed structure of Cd2NiSnMo.

Cell: 4.369 5.244 5.244 Å, 90.00 90.00 90.00°
Positions (direct):
Ni  0.500  0.000  0.000
Mo  0.000  0.000  0.000
Sn  0.500  0.500  0.500
Cd  0.000  0.000  0.500
Cd  0.000  0.500  0.000

Calculated values
The value obtained for the formation energy is 1.13 eV per atom. For the density, the calculation gives 6886 kg/m3. The density of states at the Fermi level comes out at 4.080 states/eV/cell. The symmetry is No. 123.

(4)
Density functional theory data (PBEsol) for a relaxed structure of Cd2AgHg.

Cell: 3.244 5.050 5.147 Å, 100.21 108.37 90.00°
Positions (direct):
Hg  0.503  0.503  0.007
Ag  0.252  0.757  0.505
Cd  0.996  0.990  0.992
Cd  0.748  0.250  0.497

Calculated values
The value obtained for the formation energy is -0.01 eV per atom. For the density, the calculation gives 11264 kg/m3. The density of states at the Fermi level comes out at 1.167 states/eV/cell. The symmetry is No. 8.

(5)
Density functional theory data (PBEsol) for a relaxed structure of CaTa2Ti.

Cell: 4.767 4.767 4.767 Å, 60.00 60.00 60.00°
Positions (direct):
Ca  0.000  0.000  0.000
Ti  0.500  0.500  0.500
Ta  0.250  0.250  0.250
Ta  0.750  0.750  0.750

Calculated values
The value obtained for the formation energy is 0.83 eV per atom. For the density, the calculation gives 9749 kg/m3. The density of states at the Fermi level comes out at 6.952 states/eV/cell. The symmetry is No. 225.

(6)
Density functional theory data (PBEsol) for a relaxed structure of Ba3FeS4Br.

Cell: 8.398 9.541 12.259 Å, 90.00 90.00 90.00°
Positions (direct):
Ba  0.082  0.250  0.477
Ba  0.418  0.250  0.977
Ba  0.918  0.750  0.523
Ba  0.582  0.750  0.023
Ba  0.412  0.521  0.664
Ba  0.088  0.979  0.164
Ba  0.588  0.021  0.336
Ba  0.912  0.479  0.836
Ba  0.588  0.479  0.336
Ba  0.912  0.021  0.836
Ba  0.412  0.979  0.664
Ba  0.088  0.521  0.164
Fe  0.687  0.250  0.605
Fe  0.813  0.250  0.105
Fe  0.313  0.750  0.395
Fe  0.187  0.750  0.895
S  0.190  0.550  0.429
S  0.310  0.950  0.929
S  0.810  0.050  0.571
S  0.690  0.450  0.071
S  0.810  0.450  0.571
S  0.690  0.050  0.071
S  0.190  0.950  0.429
S  0.310  0.550  0.929
S  0.863  0.250  0.283
S  0.637  0.250  0.783
S  0.137  0.750  0.717
S  0.363  0.750  0.217
S  0.462  0.250  0.508
S  0.038  0.250  0.008
S  0.538  0.750  0.492
S  0.962  0.750  0.992
Br  0.327  0.250  0.234
Br  0.173  0.250  0.734
Br  0.673  0.750  0.766
Br  0.827  0.750  0.266

Calculated values
For the density, the calculation gives 4571 kg/m3. The calculation puts the total energy at -5.531 eV/atom. The symmetry is No. 62.

(7)
Density functional theory data (PBEsol) for a relaxed structure of TlPIr2.

Cell: 2.888 3.302 7.308 Å, 103.05 101.40 90.00°
Positions (direct):
Ir  0.024  0.024  0.048
Ir  0.827  0.327  0.654
P  0.456  0.456  0.911
Tl  0.193  0.693  0.386

Calculated values
The calculation puts the polymorph energy (0 for the lowest one) at 0.00 eV/f.u. The value obtained for the formation energy is 0.07 eV per atom. For the density, the calculation gives 15484 kg/m3. The density of states at the Fermi level comes out at 1.913 states/eV/cell. The symmetry is No. 44.

(8)
Density functional theory data (PBEsol) for a relaxed structure of KTa2O6.

Cell: 7.474 7.474 7.474 Å, 89.45 60.03 119.39°
Positions (direct):
K  0.000  0.000  0.000
K  0.500  0.500  0.000
Ta  0.000  0.500  0.500
Ta  0.500  0.000  0.500
Ta  0.000  0.500  0.000
Ta  0.500  0.500  0.500
O  0.250  0.437  0.813
O  0.250  0.808  0.442
O  0.621  0.810  0.436
O  0.879  0.443  0.811
O  0.254  0.443  0.436
O  0.246  0.810  0.811
O  0.750  0.563  0.187
O  0.750  0.192  0.558
O  0.379  0.190  0.564
O  0.121  0.557  0.189
O  0.746  0.557  0.564
O  0.754  0.190  0.189

Calculated values
For the density, the calculation gives 5564 kg/m3. The density of states at the Fermi level comes out at 12.288 states/eV/cell. The calculation puts the total energy at -8.891 eV/atom. The symmetry is No. 74.

(9)
Density functional theory data (PBEsol) for a relaxed structure of As2SO6.

Cell: 4.769 4.841 11.224 Å, 90.00 90.00 90.00°
Positions (direct):
As  0.215  0.814  0.695
As  0.785  0.814  0.305
As  0.715  0.186  0.805
As  0.285  0.186  0.195
S  0.000  0.814  0.000
S  0.500  0.186  0.500
O  0.103  0.648  0.901
O  0.897  0.648  0.099
O  0.603  0.352  0.599
O  0.397  0.352  0.401
O  0.566  0.869  0.745
O  0.434  0.869  0.255
O  0.735  0.993  0.460
O  0.265  0.993  0.540
O  0.235  0.007  0.040
O  0.765  0.007  0.960
O  0.934  0.131  0.245
O  0.066  0.131  0.755

Calculated values
For the density, the calculation gives 3562 kg/m3. The density of states at the Fermi level comes out at 0.000 states/eV/cell. The calculation puts the total energy at -6.355 eV/atom. The symmetry is No. 18.

(10)
Density functional theory data (PBEsol) for a relaxed structure of NbBiSe2.

Cell: 3.425 3.425 9.510 Å, 79.63 79.63 60.00°
Positions (direct):
Nb  0.500  0.500  0.500
Bi  0.000  0.000  0.000
Se  0.894  0.894  0.318
Se  0.106  0.106  0.682

Calculated values
For the density, the calculation gives 8082 kg/m3. The density of states at the Fermi level comes out at 1.836 states/eV/cell. The calculation puts the total energy at -6.290 eV/atom. The symmetry is No. 166.

(11)
Density functional theory data (PBEsol) for a relaxed structure of BaBeAu3.

Cell: 4.709 4.709 4.709 Å, 90.00 90.00 90.00°
Positions (direct):
Be  0.000  0.000  0.000
Au  0.000  0.500  0.000
Au  0.000  0.000  0.500
Au  0.500  0.000  0.000
Ba  0.500  0.500  0.500

Calculated values
The value obtained for the formation energy is -0.39 eV per atom. For the density, the calculation gives 11725 kg/m3. The density of states at the Fermi level comes out at 1.312 states/eV/cell. The symmetry is No. 221.

(12)
Density functional theory data (PBEsol) for a relaxed structure of ZrCo2Pt.

Cell: 2.751 2.751 8.820 Å, 81.03 81.03 60.00°
Positions (direct):
Co  0.010  0.010  0.971
Co  0.744  0.744  0.767
Zr  0.253  0.253  0.241
Pt  0.493  0.493  0.521

Calculated values
The value obtained for the formation energy is 0.08 eV per atom. For the density, the calculation gives 11804 kg/m3. The density of states at the Fermi level comes out at 4.376 states/eV/cell. The symmetry is No. 160.

(13)
Density functional theory data (PBEsol) for a relaxed structure of Tl3PtC.

Cell: 5.233 5.233 5.233 Å, 90.00 90.00 90.00°
Positions (direct):
Tl  0.000  0.500  0.000
Tl  0.000  0.000  0.500
Tl  0.500  0.000  0.000
C  0.500  0.500  0.500
Pt  0.000  0.000  0.000

Calculated values
The value obtained for the formation energy is 1.30 eV per atom. For the density, the calculation gives 9503 kg/m3. The density of states at the Fermi level comes out at 1.370 states/eV/cell. The symmetry is No. 221.

(14)
Density functional theory data (PBEsol) for a relaxed structure of Te4Mo3.

Cell: 7.014 7.014 7.014 Å, 92.05 92.05 92.05°
Positions (direct):
Mo  0.742  0.046  0.920
Mo  0.046  0.920  0.742
Mo  0.920  0.742  0.046
Mo  0.258  0.954  0.080
Mo  0.954  0.080  0.258
Mo  0.080  0.258  0.954
Te  0.710  0.710  0.710
Te  0.290  0.290  0.290
Te  0.382  0.122  0.752
Te  0.122  0.752  0.382
Te  0.752  0.382  0.122
Te  0.618  0.878  0.248
Te  0.878  0.248  0.618
Te  0.248  0.618  0.878

Calculated values
For the density, the calculation gives 7699 kg/m3. The density of states at the Fermi level comes out at 8.711 states/eV/cell. The calculation puts the total energy at -7.313 eV/atom. The symmetry is No. 148.

(15)
Density functional theory data (PBEsol) for a relaxed structure of HPtCl2.

Cell: 4.066 4.066 5.829 Å, 69.59 69.59 60.00°
Positions (direct):
H  0.000  0.000  0.000
Pt  0.500  0.500  0.500
Cl  0.902  0.902  0.293
Cl  0.098  0.098  0.707

Calculated values
The calculation puts the polymorph energy (0 for the lowest one) at 0.00 eV/f.u. For the density, the calculation gives 5805 kg/m3. The density of states at the Fermi level comes out at 2.773 states/eV/cell. The symmetry is No. 166.

(16)
Density functional theory data (PBEsol) for a relaxed structure of RbCo2SiAu.

Cell: 4.408 4.408 5.519 Å, 90.00 90.00 90.00°
Positions (direct):
Co  0.000  0.500  0.000
Co  0.500  0.000  0.000
Si  0.500  0.500  0.500
Au  0.000  0.000  0.500
Rb  0.000  0.000  0.000

Calculated values
For the density, the calculation gives 6632 kg/m3. The density of states at the Fermi level comes out at 9.254 states/eV/cell. The calculation puts the total energy at -2.771 eV/atom. The symmetry is No. 123.

(17)
Density functional theory data (PBEsol) for a relaxed structure of AlTc2Se.

Cell: 3.999 3.999 4.641 Å, 115.52 115.52 90.00°
Positions (direct):
Tc  0.000  0.000  0.000
Tc  0.750  0.250  0.500
Se  0.250  0.750  0.500
Al  0.500  0.500  0.000

Calculated values
The calculation puts the polymorph energy (0 for the lowest one) at 0.10 eV/f.u. For the density, the calculation gives 8517 kg/m3. The density of states at the Fermi level comes out at 2.797 states/eV/cell. The symmetry is No. 119.

(18)
Density functional theory data (PBEsol) for a relaxed structure of TcAg3Sb.

Cell: 4.899 4.899 4.899 Å, 90.00 90.00 90.00°
Positions (direct):
Sb  0.500  0.500  0.500
Tc  0.000  0.000  0.000
Ag  0.000  0.500  0.000
Ag  0.000  0.000  0.500
Ag  0.500  0.000  0.000

Calculated values
For the density, the calculation gives 7673 kg/m3. The density of states at the Fermi level comes out at 5.583 states/eV/cell. The calculation puts the total energy at -3.648 eV/atom. The symmetry is No. 221.

(19)
Density functional theory data (PBEsol) for a relaxed structure of Sc11Ga9.

Cell: 10.202 10.202 10.206 Å, 117.75 117.75 93.93°
Positions (direct):
Sc  0.333  0.333  0.665
Sc  0.660  0.660  0.320
Sc  0.171  0.822  0.992
Sc  0.822  0.171  0.992
Sc  0.818  0.818  0.992
Sc  0.175  0.175  0.992
Sc  0.422  0.196  0.355
Sc  0.933  0.159  0.355
Sc  0.159  0.933  0.355
Sc  0.196  0.422  0.355
Sc  0.570  0.796  0.629
Sc  0.059  0.833  0.629
Sc  0.833  0.059  0.629
Sc  0.796  0.570  0.629
Sc  0.697  0.347  0.763
Sc  0.067  0.416  0.763
Sc  0.416  0.067  0.763
Sc  0.347  0.697  0.763
Sc  0.296  0.645  0.222
Sc  0.926  0.576  0.222
Sc  0.576  0.926  0.222
Sc  0.645  0.296  0.222
Ga  0.373  0.619  0.992
Ga  0.619  0.373  0.992
Ga  0.620  0.620  0.992
Ga  0.373  0.373  0.992
Ga  0.986  0.619  0.992
Ga  0.007  0.373  0.992
Ga  0.619  0.986  0.992
Ga  0.373  0.007  0.992
Ga  0.092  0.092  0.185
Ga  0.900  0.900  0.800
Ga  0.746  0.246  0.492
Ga  0.246  0.746  0.492
Ga  0.126  0.126  0.655
Ga  0.529  0.529  0.655
Ga  0.496  0.996  0.492
Ga  0.996  0.496  0.492
Ga  0.866  0.866  0.330
Ga  0.464  0.464  0.330

Calculated values
The value obtained for the formation energy is -0.62 eV per atom. For the density, the calculation gives 4809 kg/m3. The density of states at the Fermi level comes out at 30.875 states/eV/cell. The symmetry is No. 69.

(20)
Density functional theory data (PBEsol) for a relaxed structure of CsTlGa3.

Cell: 5.824 5.824 5.824 Å, 90.00 90.00 90.00°
Positions (direct):
Cs  0.000  0.000  0.000
Tl  0.500  0.500  0.500
Ga  0.000  0.500  0.000
Ga  0.000  0.000  0.500
Ga  0.500  0.000  0.000

Calculated values
The value obtained for the formation energy is 1.20 eV per atom. For the density, the calculation gives 4594 kg/m3. The density of states at the Fermi level comes out at 8.347 states/eV/cell. The symmetry is No. 221.